1.
A relaxed structure of Sc2HgCl, computed with PBE-GGA.

The structure in CIF format:
```
data_Sc2HgCl
_space_group_name_H-M_alt 'C 1 2/m 1'
_space_group_IT_number 12
_space_group_name_Hall '-C 2y'
_cell_length_a 14.239
_cell_length_b 3.556
_cell_length_c 8.205
_cell_angle_alpha 90.00
_cell_angle_beta 120.52
_cell_angle_gamma 90.00
loop_
_atom_site_label
_atom_site_type_symbol
_atom_site_fract_x
_atom_site_fract_y
_atom_site_fract_z
_atom_site_occupancy
Sc1 Sc 0.110 0.000 0.267 1
Sc2 Sc 0.180 0.000 0.797 1
Hg1 Hg 0.087 0.500 0.955 1
Cl1 Cl 0.166 0.500 0.550 1
```

Calculated values
Energy relative to the lowest polymorph listed for this composition (meV per atom): 34
Energy relative to the elements, uncorrected (eV/f.u.): -3.034


2.
A relaxed structure of KTb2Tl3, computed with PBE-GGA.

The structure in CIF format:
```
data_KTb2Tl3
_space_group_name_H-M_alt 'P 4/m m m'
_space_group_IT_number 123
_space_group_name_Hall '-P 4 2'
_cell_length_a 3.875
_cell_length_b 3.875
_cell_length_c 12.318
_cell_angle_alpha 90.00
_cell_angle_beta 90.00
_cell_angle_gamma 90.00
loop_
_atom_site_label
_atom_site_type_symbol
_atom_site_fract_x
_atom_site_fract_y
_atom_site_fract_z
_atom_site_occupancy
K1 K 0.000 0.000 0.000 1
Tb1 Tb 0.000 0.000 0.346 1
Tl1 Tl 0.500 0.500 0.205 1
Tl2 Tl 0.500 0.500 0.500 1
```

Calculated values
ΔH_f (0 K) (kcal/mol of atoms): -5.84


3.
A relaxed structure of Pu2CuPdO8, computed with PBE-GGA.

The structure in CIF format:
```
data_Pu2CuPdO8
_space_group_name_H-M_alt 'I -4 m 2'
_space_group_IT_number 119
_space_group_name_Hall 'I -4 -2'
_cell_length_a 6.552
_cell_length_b 6.552
_cell_length_c 7.398
_cell_angle_alpha 90.00
_cell_angle_beta 90.00
_cell_angle_gamma 90.00
loop_
_atom_site_label
_atom_site_type_symbol
_atom_site_fract_x
_atom_site_fract_y
_atom_site_fract_z
_atom_site_occupancy
Pu1 Pu 0.000 0.000 0.000 1
Pu2 Pu 0.000 0.500 0.250 1
Cu1 Cu 0.000 0.500 0.750 1
Pd1 Pd 0.000 0.000 0.500 1
O1 O 0.000 0.199 0.282 1
O2 O 0.000 0.303 0.953 1
```

Calculated values
Energy relative to the elements, uncorrected (eV/f.u.): -19.136


4.
A relaxed structure of Sc6TeSe3, computed with PBE-GGA.

The structure in CIF format:
```
data_Sc6TeSe3
_space_group_name_H-M_alt 'P 1 21/m 1'
_space_group_IT_number 11
_space_group_name_Hall '-P 2yb'
_cell_length_a 11.403
_cell_length_b 3.798
_cell_length_c 11.431
_cell_angle_alpha 90.00
_cell_angle_beta 114.83
_cell_angle_gamma 90.00
loop_
_atom_site_label
_atom_site_type_symbol
_atom_site_fract_x
_atom_site_fract_y
_atom_site_fract_z
_atom_site_occupancy
Sc1 Sc 0.044 0.250 0.405 1
Sc2 Sc 0.135 0.250 0.981 1
Sc3 Sc 0.223 0.750 0.249 1
Sc4 Sc 0.293 0.750 0.729 1
Sc5 Sc 0.398 0.250 0.529 1
Sc6 Sc 0.433 0.750 0.089 1
Te1 Te 0.430 0.250 0.281 1
Se1 Se 0.035 0.250 0.162 1
Se2 Se 0.220 0.750 0.477 1
Se3 Se 0.328 0.250 0.908 1
```

Calculated values
Energy relative to the elements, uncorrected (eV/f.u.): -11.497


5.
A relaxed structure of Sn3TeAu, computed with PBE-GGA.

The structure in CIF format:
```
data_Sn3TeAu
_space_group_name_H-M_alt 'P m -3 m'
_space_group_IT_number 221
_space_group_name_Hall '-P 4 2 3'
_cell_length_a 5.421
_cell_length_b 5.421
_cell_length_c 5.421
_cell_angle_alpha 90.00
_cell_angle_beta 90.00
_cell_angle_gamma 90.00
loop_
_atom_site_label
_atom_site_type_symbol
_atom_site_fract_x
_atom_site_fract_y
_atom_site_fract_z
_atom_site_occupancy
Sn1 Sn 0.000 0.000 0.500 1
Te1 Te 0.500 0.500 0.500 1
Au1 Au 0.000 0.000 0.000 1
```

Calculated values
Energy relative to the lowest polymorph listed for this composition (meV per atom): 0
Energy relative to the elements, uncorrected (eV/f.u.): 0.968


6.
A relaxed structure of Pu2InSn, computed with PBE-GGA.

The structure in CIF format:
```
data_Pu2InSn
_space_group_name_H-M_alt 'P 4/m m m'
_space_group_IT_number 123
_space_group_name_Hall '-P 4 2'
_cell_length_a 4.658
_cell_length_b 4.658
_cell_length_c 4.740
_cell_angle_alpha 90.00
_cell_angle_beta 90.00
_cell_angle_gamma 90.00
loop_
_atom_site_label
_atom_site_type_symbol
_atom_site_fract_x
_atom_site_fract_y
_atom_site_fract_z
_atom_site_occupancy
Pu1 Pu 0.000 0.500 0.000 1
In1 In 0.000 0.000 0.500 1
Sn1 Sn 0.500 0.500 0.500 1
```

Calculated values
ΔH_f (0 K) (kcal/mol of atoms): -6.61


7.
A relaxed structure of TePt2Pb, computed with PBE-GGA.

The structure in CIF format:
```
data_TePt2Pb
_space_group_name_H-M_alt 'F m -3 m'
_space_group_IT_number 225
_space_group_name_Hall '-F 4 2 3'
_cell_length_a 6.937
_cell_length_b 6.937
_cell_length_c 6.937
_cell_angle_alpha 90.00
_cell_angle_beta 90.00
_cell_angle_gamma 90.00
loop_
_atom_site_label
_atom_site_type_symbol
_atom_site_fract_x
_atom_site_fract_y
_atom_site_fract_z
_atom_site_occupancy
Te1 Te 0.000 0.000 0.000 1
Pt1 Pt 0.250 0.250 0.250 1
Pb1 Pb 0.000 0.000 0.500 1
```

Calculated values
Energy relative to the lowest polymorph listed for this composition (meV per atom): 261
Energy relative to the elements, uncorrected (eV/f.u.): 0.263


8.
A relaxed structure of CaFe2SbS, computed with PBE-GGA.

The structure in CIF format:
```
data_CaFe2SbS
_space_group_name_H-M_alt 'P 4/m m m'
_space_group_IT_number 123
_space_group_name_Hall '-P 4 2'
_cell_length_a 4.796
_cell_length_b 4.796
_cell_length_c 6.135
_cell_angle_alpha 90.00
_cell_angle_beta 90.00
_cell_angle_gamma 90.00
loop_
_atom_site_label
_atom_site_type_symbol
_atom_site_fract_x
_atom_site_fract_y
_atom_site_fract_z
_atom_site_occupancy
Ca1 Ca 0.000 0.000 0.000 1
Fe1 Fe 0.000 0.500 0.500 1
Sb1 Sb 0.000 0.000 0.500 1
S1 S 0.500 0.500 0.000 1
```

Calculated values
Energy relative to the elements, uncorrected (eV/f.u.): 2.616


9.
A relaxed structure of Li2TmGa2Ag2, computed with PBE-GGA.

The structure in CIF format:
```
data_Li2TmGa2Ag2
_space_group_name_H-M_alt 'C 1 2/m 1'
_space_group_IT_number 12
_space_group_name_Hall '-C 2y'
_cell_length_a 8.001
_cell_length_b 4.539
_cell_length_c 7.402
_cell_angle_alpha 90.00
_cell_angle_beta 109.54
_cell_angle_gamma 90.00
loop_
_atom_site_label
_atom_site_type_symbol
_atom_site_fract_x
_atom_site_fract_y
_atom_site_fract_z
_atom_site_occupancy
Li1 Li 0.141 0.000 0.431 1
Tm1 Tm 0.000 0.000 0.000 1
Ga1 Ga 0.077 0.500 0.729 1
Ag1 Ag 0.233 0.500 0.204 1
```

Calculated values
ΔH_f (0 K) (kcal/mol of atoms): -7.45


10.
A relaxed structure of CaTb3Pm2Te6, computed with PBE-GGA.

The structure in CIF format:
```
data_CaTb3Pm2Te6
_space_group_name_H-M_alt 'C 1 2/m 1'
_space_group_IT_number 12
_space_group_name_Hall '-C 2y'
_cell_length_a 19.316
_cell_length_b 4.410
_cell_length_c 8.878
_cell_angle_alpha 90.00
_cell_angle_beta 103.49
_cell_angle_gamma 90.00
loop_
_atom_site_label
_atom_site_type_symbol
_atom_site_fract_x
_atom_site_fract_y
_atom_site_fract_z
_atom_site_occupancy
Ca1 Ca 0.000 0.000 0.000 1
Tb1 Tb 0.000 0.000 0.500 1
Tb2 Tb 0.169 0.500 0.828 1
Pm1 Pm 0.172 0.500 0.344 1
Te1 Te 0.000 0.500 0.251 1
Te2 Te 0.162 0.000 0.587 1
Te3 Te 0.166 0.000 0.077 1
```

Calculated values
Energy relative to the elements, uncorrected (eV/f.u.): -16.801


11.
A relaxed structure of SrBe2As, computed with PBE-GGA.

The structure in CIF format:
```
data_SrBe2As
_space_group_name_H-M_alt 'I m m 2'
_space_group_IT_number 44
_space_group_name_Hall 'I 2 -2'
_cell_length_a 3.856
_cell_length_b 6.322
_cell_length_c 7.101
_cell_angle_alpha 90.00
_cell_angle_beta 90.00
_cell_angle_gamma 90.00
loop_
_atom_site_label
_atom_site_type_symbol
_atom_site_fract_x
_atom_site_fract_y
_atom_site_fract_z
_atom_site_occupancy
Sr1 Sr 0.000 0.000 0.000 1
Be1 Be 0.000 0.000 0.483 1
Be2 Be 0.000 0.500 0.845 1
As1 As 0.000 0.500 0.151 1
```

Calculated values
ΔH_f (0 K) (kcal/mol of atoms): 0.18


12.
A relaxed structure of Si2Ru2Cl, computed with PBE-GGA.

The structure in CIF format:
```
data_Si2Ru2Cl
_space_group_name_H-M_alt 'I 4/m m m'
_space_group_IT_number 139
_space_group_name_Hall '-I 4 2'
_cell_length_a 4.193
_cell_length_b 4.193
_cell_length_c 9.411
_cell_angle_alpha 90.00
_cell_angle_beta 90.00
_cell_angle_gamma 90.00
loop_
_atom_site_label
_atom_site_type_symbol
_atom_site_fract_x
_atom_site_fract_y
_atom_site_fract_z
_atom_site_occupancy
Si1 Si 0.000 0.000 0.126 1
Ru1 Ru 0.000 0.500 0.250 1
Cl1 Cl 0.000 0.000 0.500 1
```

Calculated values
Energy relative to the lowest polymorph listed for this composition (meV per atom): 259
Energy relative to the elements, uncorrected (eV/f.u.): 0.372